[1]
Entry from the Alexandria database: SbRh3W after structural relaxation (PBE-GGA).

Results
**Uncorrected energy**: -34.4 eV for the cell shown
**ΔE_f (raw)**: 0.939 eV per atom
**Distance to the lowest polymorph of the same formula**: 0 meV/atom
**Fermi-level density of states**: 0.82 states/eV per atom

Unit cell a=4.735 b=4.735 c=4.735 alpha=90.00 beta=90.00 gamma=90.00
Element x y z (fractional)
Rh: 0.000 0.000 0.500
Rh: 0.500 0.000 0.000
Rh: 0.000 0.500 0.000
W: 0.000 0.000 0.000
Sb: 0.500 0.500 0.500

[2]
Entry from the Alexandria database: Sb2RhW after structural relaxation (PBE-GGA).

Results
**Uncorrected energy**: -27.8 eV for the cell shown
**ΔE_f (raw)**: 0.199 eV per atom
**Distance to the lowest polymorph of the same formula**: 104 meV/atom
**Fermi-level density of states**: 0.85 states/eV per atom

Unit cell a=5.172 b=5.172 c=4.611 alpha=78.02 beta=78.02 gamma=38.42
Element x y z (fractional)
Sb: 0.753 0.753 0.674
Sb: 0.999 0.999 0.075
Rh: 0.265 0.265 0.169
W: 0.483 0.483 0.582